<one>
First-principles (PBE) data for an optimized crystal structure of CeMgTi, as listed in the Alexandria database.

Computed properties:
Crystal system: triclinic
DOS at the Fermi energy, states/eV per atom: 1.444
Density, g/cm³: 5.14

abc: 2.9812 6.3023 7.8437
angles: 74.24 79.49 77.01
Space group P-1 (No. 2)
One atom of each set of equivalent atoms:
Ce 0.1159 0.4146 0.3477 x2
Mg 0.4175 0.9170 0.2640 x2
Ti 0.1574 0.6973 0.9937 x2

***

<two>
First-principles (PBE) data for an optimized crystal structure of CeMgTi, as listed in the Alexandria database.

Computed properties:
Crystal system: trigonal
DOS at the Fermi energy, states/eV per atom: 2.015
Density, g/cm³: 5.33

abc: 3.0422 3.0422 8.2528
angles: 90.00 90.00 120.00
Space group P3m1 (No. 156)
One atom of each set of equivalent atoms:
Ce 0.0000 0.0000 0.0000 x1
Mg 0.6667 0.3333 0.3702 x1
Ti 0.3333 0.6667 0.6796 x1

***

<three>
First-principles (PBE) data for an optimized crystal structure of CeMgTi, as listed in the Alexandria database.

Computed properties:
Crystal system: tetragonal
DOS at the Fermi energy, states/eV per atom: 1.634
Density, g/cm³: 5.31

abc: 2.9904 2.9904 14.8582
angles: 90.00 90.00 90.00
Space group I4mm (No. 107)
One atom of each set of equivalent atoms:
Ce 0.0000 0.0000 0.0000 x2
Mg 0.0000 0.0000 0.6900 x2
Ti 0.0000 0.0000 0.3427 x2

***

Unit: meV per atom. Relative energies: <one> 37; <two> 49; <three> 0.

***

<one>
First-principles (PBE) data for an optimized crystal structure of CeMg2Tl3, as listed in the Alexandria database.

Computed properties:
Crystal system: trigonal
DOS at the Fermi energy, states/eV per atom: 1.255
Density, g/cm³: 8.47

abc: 5.2140 5.2140 13.3503
angles: 90.00 90.00 120.00
Space group P-3m1 (No. 164)
One atom of each set of equivalent atoms:
Ce 0.3333 0.6667 0.1690 x2
Mg 0.0000 0.0000 0.0000 x1
Mg 0.0000 0.0000 0.5000 x1
Mg 0.3333 0.6667 0.6661 x2
Tl 0.0000 0.0000 0.2661 x2
Tl 0.3333 0.6667 0.4243 x2
Tl 0.3333 0.6667 0.9190 x2

***

<two>
First-principles (PBE) data for an optimized crystal structure of CeMg2Tl3, as listed in the Alexandria database.

Computed properties:
Crystal system: hexagonal
DOS at the Fermi energy, states/eV per atom: 1.337
Density, g/cm³: 8.38

abc: 5.1702 5.1702 13.7206
angles: 90.00 90.00 120.00
Space group P6_3/mmc (No. 194)
One atom of each set of equivalent atoms:
Ce 0.0000 0.0000 0.2500 x2
Mg 0.3333 0.6667 0.1103 x4
Tl 0.0000 0.0000 0.0000 x2
Tl 0.3333 0.6667 0.6347 x4

***

Unit: meV per atom. Relative energies: <one> 0; <two> 28.

***

<one>
First-principles (PBE) data for an optimized crystal structure of Ce3MgTl2, as listed in the Alexandria database.

Computed properties:
Crystal system: orthorhombic
DOS at the Fermi energy, states/eV per atom: 2.748
Density, g/cm³: 8.75

abc: 4.6884 14.0620 4.9149
angles: 90.00 90.00 90.00
Space group Cmmm (No. 65)
One atom of each set of equivalent atoms:
Ce 0.0000 0.0000 0.0000 x2
Ce 0.0000 0.3318 0.0000 x4
Mg 0.0000 0.5000 0.5000 x2
Tl 0.0000 0.1603 0.5000 x4

***

<two>
First-principles (PBE) data for an optimized crystal structure of Ce3MgTl2, as listed in the Alexandria database.

Computed properties:
Crystal system: monoclinic
DOS at the Fermi energy, states/eV per atom: 2.218
Density, g/cm³: 8.46

abc: 9.9125 11.0368 6.3158
angles: 90.00 104.24 90.00
Space group C2/c (No. 15)
One atom of each set of equivalent atoms:
Ce 0.0000 0.2003 0.2500 x4
Ce 0.1714 0.0128 0.4298 x8
Mg 0.0000 0.4934 0.7500 x4
Tl 0.1665 0.2661 0.7541 x8

***

Unit: meV per atom. Relative energies: <one> 0; <two> 123.